Entry 1:
RbY2Cu: relaxed, PBE.

The structure in CIF format:
```
data_RbY2Cu
_chemical_formula_sum 'Rb1 Y2 Cu1'
_cell_length_a 5.367
_cell_length_b 5.367
_cell_length_c 5.367
_cell_angle_alpha 60.00
_cell_angle_beta 60.00
_cell_angle_gamma 60.00
_symmetry_space_group_name_H-M 'P 1'
_symmetry_Int_Tables_number 1
loop_
_symmetry_equiv_pos_as_xyz
'x,y,z'
loop_
_atom_site_label
_atom_site_type_symbol
_atom_site_fract_x
_atom_site_fract_y
_atom_site_fract_z
Rb1 Rb 0.000 0.000 0.000
Y1 Y 0.250 0.250 0.250
Y2 Y 0.750 0.750 0.750
Cu1 Cu 0.500 0.500 0.500
```

Calculated values
E: -15.4 eV per cell
Mass density: 5.0 g/cm3
Offset from the most stable computed form: 0 meV per atom
Total magnetic moment: 0.0 μB per formula unit
Formation energy: 642.4 meV per atom
Space group: Fm-3m, No. 225


Entry 2:
ErAsPb: relaxed, PBE.

The structure in CIF format:
```
data_ErAsPb
_chemical_formula_sum 'Er4 As4 Pb4'
_cell_length_a 7.153
_cell_length_b 7.153
_cell_length_c 7.153
_cell_angle_alpha 90.00
_cell_angle_beta 90.00
_cell_angle_gamma 90.00
_symmetry_space_group_name_H-M 'P 1'
_symmetry_Int_Tables_number 1
loop_
_symmetry_equiv_pos_as_xyz
'x,y,z'
loop_
_atom_site_label
_atom_site_type_symbol
_atom_site_fract_x
_atom_site_fract_y
_atom_site_fract_z
Er1 Er 0.031 0.031 0.031
Er2 Er 0.469 0.969 0.531
Er3 Er 0.531 0.469 0.969
Er4 Er 0.969 0.531 0.469
As1 As 0.162 0.838 0.338
As2 As 0.338 0.162 0.838
As3 As 0.662 0.662 0.662
As4 As 0.838 0.338 0.162
Pb1 Pb 0.067 0.567 0.933
Pb2 Pb 0.433 0.433 0.433
Pb3 Pb 0.567 0.933 0.067
Pb4 Pb 0.933 0.067 0.567
```

Calculated values
E: -56.0 eV per cell
Mass density: 8.2 g/cm3
Total magnetic moment: 0.0 μB per formula unit
Formation energy: -355.8 meV per atom
Space group: P2_13, No. 198


Entry 3:
NaMnS2N: relaxed, PBE.

The structure in CIF format:
```
data_NaMnS2N
_chemical_formula_sum 'Na1 Mn1 S2 N1'
_cell_length_a 4.819
_cell_length_b 4.819
_cell_length_c 3.506
_cell_angle_alpha 90.00
_cell_angle_beta 90.00
_cell_angle_gamma 90.00
_symmetry_space_group_name_H-M 'P 1'
_symmetry_Int_Tables_number 1
loop_
_symmetry_equiv_pos_as_xyz
'x,y,z'
loop_
_atom_site_label
_atom_site_type_symbol
_atom_site_fract_x
_atom_site_fract_y
_atom_site_fract_z
Na1 Na 0.000 0.000 0.000
Mn1 Mn 0.500 0.500 0.500
S1 S 0.000 0.500 0.500
S2 S 0.500 0.000 0.500
N1 N 0.500 0.500 0.000
```

Calculated values
E: -27.6 eV per cell
Mass density: 3.2 g/cm3
Offset from the most stable computed form: 0 meV per atom
Total magnetic moment: 1.3 μB per formula unit
Energy relative to the elements, uncorrected: -0.1048 eV per atom
Space group: P4/mmm, No. 123